[1]
A plane-wave DFT calculation with PBE-GGA was carried out for a relaxed structure of Cd2RhBr.

It has space group F-43m (No. 216), with a = 6.8605 Å, b = 6.8605 Å, c = 6.8605 Å, α = 90.00°, β = 90.00° and γ = 90.00°. Symmetry generates all atoms from Cd at (0.0000, 0.0000, 0.0000), Cd at (0.2500, 0.2500, 0.2500), Rh at (0.0000, 0.0000, 0.5000) and Br at (0.2500, 0.2500, 0.7500).

As for the energy above the most stable polymorph in this dataset: 438.9 meV/atom. The calculation puts the raw formation energy at 265 meV per atom. The energy comes out at -2.448 eV/atom. The density comes out at 8.39 g/cm³.

***

[2]
A plane-wave DFT calculation with PBE-GGA was carried out for a relaxed structure of CdRhBr2.

It has space group Cmm2 (No. 35), with a = 3.7283 Å, b = 6.1226 Å, c = 8.9620 Å, α = 90.00°, β = 90.00° and γ = 90.00°. Symmetry generates all atoms from Cd at (0.0000, 0.0000, 0.0000), Rh at (0.0000, 0.5000, 0.2277), Br at (0.0000, 0.0000, 0.4052) and Br at (0.0000, 0.5000, 0.7862).

As for the energy above the most stable polymorph in this dataset: 212.3 meV/atom. The calculation puts the raw formation energy at -19 meV per atom. The energy comes out at -2.922 eV/atom. The density comes out at 6.09 g/cm³.

***

[3]
A plane-wave DFT calculation with PBE-GGA was carried out for a relaxed structure of CdRh2Br.

It has space group Cmmm (No. 65), with a = 6.3389 Å, b = 6.9220 Å, c = 3.1283 Å, α = 90.00°, β = 90.00° and γ = 90.00°. Symmetry generates all atoms from Cd at (0.0000, 0.0000, 0.0000), Rh at (0.2500, 0.2500, 0.5000) and Br at (0.0000, 0.5000, 0.0000).

As for the energy above the most stable polymorph in this dataset: 249.5 meV/atom. The calculation puts the raw formation energy at 381 meV per atom. The energy comes out at -3.942 eV/atom. The density comes out at 9.63 g/cm³.

***

[4]
A plane-wave DFT calculation with PBE-GGA was carried out for a relaxed structure of Cd2RhBr.

It has space group I-4m2 (No. 119), with a = 4.2106 Å, b = 4.2106 Å, c = 9.1203 Å, α = 90.00°, β = 90.00° and γ = 90.00°. Symmetry generates all atoms from Cd at (0.0000, 0.0000, 0.0000), Cd at (0.0000, 0.5000, 0.2500), Rh at (0.0000, 0.5000, 0.7500) and Br at (0.0000, 0.0000, 0.5000).

As for the energy above the most stable polymorph in this dataset: 363.5 meV/atom. The calculation puts the raw formation energy at 190 meV per atom. The energy comes out at -2.524 eV/atom. The density comes out at 8.37 g/cm³.